# 1
PBE LiCa2SmSe4, relaxed; mass density = 4.5 g/cm³; space-group type = P2/m (10); ΔE_f (raw) = -1.829 eV/atom
1.0
7.153 0.000 0.000
0.000 4.196 0.000
-2.325 0.000 6.815
Li Ca Sm Se
1 2 1 4
Direct
0.000 0.000 0.000 Li
0.000 0.500 0.500 Ca
0.500 0.000 0.500 Ca
0.500 0.500 0.000 Sm
0.248 0.000 0.757 Se
0.249 0.500 0.246 Se
0.751 0.500 0.754 Se
0.752 0.000 0.243 Se

# 2
PBE LiCa3Sm4Se8, relaxed; mass density = 5.5 g/cm³; space-group type = R-3m (166); ΔE_f (raw) = -1.853 eV/atom
1.0
4.143 2.392 6.880
-4.143 2.392 6.880
0.000 -4.784 6.880
Li Ca Sm Se
1 3 4 8
Direct
0.000 0.000 0.000 Li
0.000 0.500 0.500 Ca
0.500 0.000 0.500 Ca
0.500 0.500 0.000 Ca
0.000 0.000 0.500 Sm
0.000 0.500 0.000 Sm
0.500 0.000 0.000 Sm
0.500 0.500 0.500 Sm
0.247 0.247 0.753 Se
0.247 0.753 0.247 Se
0.247 0.753 0.753 Se
0.251 0.251 0.251 Se
0.749 0.749 0.749 Se
0.753 0.247 0.247 Se
0.753 0.247 0.753 Se
0.753 0.753 0.247 Se